DFT (GGA-PBE) results for a relaxed structure of Y4Tm5In.

Cell and atoms, written as extended XYZ:
```
10
Lattice="-5.2645 5.2645 2.8711 5.2645 -5.2645 2.8711 5.2645 5.2645 -2.8711" Properties=species:S:1:pos:R:3 pbc="T T T"
Y 3.3072 0.0000 0.0000
Y 7.2217 0.0000 0.0000
Y 0.0000 3.3072 0.0000
Y 0.0000 7.2217 0.0000
Tm 0.0000 0.0000 1.2387
Tm 3.3195 3.3195 0.0020
Tm 1.9450 -1.9450 2.8731
Tm -1.9450 1.9450 2.8731
Tm 1.9450 1.9450 2.8731
In 0.0000 0.0000 4.2076
```

## Properties
Calculated volume = 318.3 Å³/cell
Formation enthalpy at 0 K = 0.10 eV per atom
E_tot = -4.9937 eV/atom
Space-group type = I4mm (107)